## i
First-principles (PBE) data for crystalline TiBeNi3 at its relaxed geometry, as listed in Alexandria.

Cell and atoms, written as CIF:
```
data_TiBeNi3
_chemical_formula_sum 'Ti2 Be2 Ni6'
_cell_length_a 4.439
_cell_length_b 5.457
_cell_length_c 5.457
_cell_angle_alpha 120.00
_cell_angle_beta 90.00
_cell_angle_gamma 90.00
_symmetry_space_group_name_H-M 'P 1'
_symmetry_Int_Tables_number 1
_symmetry_space_group_name_Hall 'P 1'
loop_
_atom_site_label
_atom_site_fract_x
_atom_site_fract_y
_atom_site_fract_z
Ni1 0.750 0.187 0.813
Ni2 0.750 0.188 0.375
Ni3 0.250 0.812 0.625
Ni4 0.250 0.813 0.187
Ni5 0.250 0.375 0.188
Ni6 0.750 0.625 0.812
Ti1 0.750 0.666 0.334
Ti2 0.250 0.334 0.666
Be1 0.000 0.000 0.000
Be2 0.500 0.000 0.000
```

## ii
First-principles (PBE) data for crystalline TiBeNi3 at its relaxed geometry, as listed in Alexandria.

Cell and atoms, written as CIF:
```
data_TiBeNi3
_chemical_formula_sum 'Ti1 Be1 Ni3'
_cell_length_a 3.902
_cell_length_b 3.902
_cell_length_c 3.902
_cell_angle_alpha 90.00
_cell_angle_beta 90.00
_cell_angle_gamma 90.00
_symmetry_space_group_name_H-M 'P 1'
_symmetry_Int_Tables_number 1
_symmetry_space_group_name_Hall 'P 1'
loop_
_atom_site_label
_atom_site_fract_x
_atom_site_fract_y
_atom_site_fract_z
Ni1 0.000 0.000 0.500
Ni2 0.500 0.000 0.000
Ni3 0.000 0.500 0.000
Be1 0.000 0.000 0.000
Ti1 0.500 0.500 0.500
```

## iii
First-principles (PBE) data for crystalline TiBeNi3 at its relaxed geometry, as listed in Alexandria.

Cell and atoms, written as CIF:
```
data_TiBeNi3
_chemical_formula_sum 'Ti1 Be1 Ni3'
_cell_length_a 4.277
_cell_length_b 4.277
_cell_length_c 4.277
_cell_angle_alpha 90.00
_cell_angle_beta 90.00
_cell_angle_gamma 90.00
_symmetry_space_group_name_H-M 'P 1'
_symmetry_Int_Tables_number 1
_symmetry_space_group_name_Hall 'P 1'
loop_
_atom_site_label
_atom_site_fract_x
_atom_site_fract_y
_atom_site_fract_z
Ti1 0.000 0.000 0.000
Ni1 0.500 0.000 0.000
Ni2 0.000 0.500 0.000
Ni3 0.000 0.000 0.500
Be1 0.500 0.500 0.500
```

Sorted by energy, starting with the most stable: i, ii, iii.

## i
First-principles (PBE) data for crystalline Ti4BeNi at its relaxed geometry, as listed in Alexandria.

Cell and atoms, written as CIF:
```
data_Ti4BeNi
_chemical_formula_sum 'Ti4 Be1 Ni1'
_cell_length_a 4.937
_cell_length_b 4.937
_cell_length_c 4.937
_cell_angle_alpha 102.23
_cell_angle_beta 102.23
_cell_angle_gamma 125.18
_symmetry_space_group_name_H-M 'P 1'
_symmetry_Int_Tables_number 1
_symmetry_space_group_name_Hall 'P 1'
loop_
_atom_site_label
_atom_site_fract_x
_atom_site_fract_y
_atom_site_fract_z
Ti1 0.906 0.406 0.813
Ti2 0.406 0.594 0.500
Ti3 0.094 0.906 0.500
Ti4 0.594 0.094 0.187
Be1 0.000 0.000 0.000
Ni1 0.500 0.500 0.000
```

## ii
First-principles (PBE) data for crystalline Ti4BeNi at its relaxed geometry, as listed in Alexandria.

Cell and atoms, written as CIF:
```
data_Ti4BeNi
_chemical_formula_sum 'Ti8 Be2 Ni2'
_cell_length_a 4.406
_cell_length_b 5.164
_cell_length_c 8.904
_cell_angle_alpha 90.00
_cell_angle_beta 104.32
_cell_angle_gamma 90.00
_symmetry_space_group_name_H-M 'P 1'
_symmetry_Int_Tables_number 1
_symmetry_space_group_name_Hall 'P 1'
loop_
_atom_site_label
_atom_site_fract_x
_atom_site_fract_y
_atom_site_fract_z
Be1 0.159 0.307 0.318
Be2 0.841 0.807 0.682
Ti1 0.123 0.787 0.246
Ti2 0.298 0.563 0.595
Ti3 0.702 0.063 0.405
Ti4 0.711 0.548 0.422
Ti5 0.289 0.048 0.578
Ti6 0.438 0.864 0.875
Ti7 0.877 0.287 0.754
Ti8 0.562 0.364 0.125
Ni1 0.425 0.364 0.850
Ni2 0.575 0.864 0.150
```

Sorted by energy, starting with the most stable: i, ii.